[1]
This record from Alexandria via LeMat-Bulk describes a relaxed structure of ScCo2W. The functional is PBE-GGA.

Computed properties:
Crystal system: trigonal
Excess energy over the best structure of this formula in the dataset (kJ per mole of atoms): 33.9
Formation energy from the elements (eV/f.u.): 1.1

a b c (Å): 2.9050 2.9050 24.1934
angles (deg): 90.00 90.00 120.00
Space group R-3m (No. 166, hexagonal axes)
Unique sites:
Sc: 0.0000 0.0000 0.0000 x3
Co: 0.0000 0.0000 0.2457 x6
W: 0.0000 0.0000 0.5000 x3


[2]
This record from Alexandria via LeMat-Bulk describes a relaxed structure of Y3Cu. The functional is PBE-GGA.

Computed properties:
Crystal system: orthorhombic
Formation energy from the elements (eV/f.u.): 0.4

a b c (Å): 3.5128 3.6200 9.1722
angles (deg): 90.00 90.00 90.00
Space group Pmm2 (No. 25)
Unique sites:
Y: 0.0000 0.0000 0.0000 x1
Y: 0.0000 0.5000 0.3335 x1
Y: 0.5000 0.5000 0.7209 x1
Cu: 0.5000 0.0000 0.4744 x1


[3]
This record from Alexandria via LeMat-Bulk describes a relaxed structure of BaCdAgPt. The functional is PBE-GGA.

Computed properties:
Crystal system: trigonal
Formation energy from the elements (eV/f.u.): -1.7

a b c (Å): 4.7943 4.7943 16.4746
angles (deg): 90.00 90.00 120.00
Space group R3m (No. 160, hexagonal axes)
Unique sites:
Ba: 0.0000 0.0000 0.0000 x3
Cd: 0.0000 0.0000 0.4876 x3
Ag: 0.0000 0.0000 0.1989 x3
Pt: 0.0000 0.0000 0.8007 x3


[4]
This record from Alexandria via LeMat-Bulk describes a relaxed structure of Re3SnF. The functional is PBE-GGA.

Computed properties:
Crystal system: cubic
Uncorrected formation energy (eV per atom): 3.01
Excess energy over the best structure of this formula in the dataset (kJ per mole of atoms): 154.5

a b c (Å): 5.1200 5.1200 5.1200
angles (deg): 90.00 90.00 90.00
Space group Pm-3m (No. 221)
Unique sites:
Re: 0.0000 0.0000 0.5000 x3
Sn: 0.0000 0.0000 0.0000 x1
F: 0.5000 0.5000 0.5000 x1


[5]
This record from Alexandria via LeMat-Bulk describes a relaxed structure of TlAg2Au2. The functional is PBE-GGA.

Computed properties:
Crystal system: tetragonal
Excess energy over the best structure of this formula in the dataset (kJ per mole of atoms): 0.0
Formation energy from the elements (eV/f.u.): 0.1

a b c (Å): 8.3323 8.3323 2.9929
angles (deg): 90.00 90.00 90.00
Space group P4/mbm (No. 127)
Unique sites:
Tl: 0.0000 0.0000 0.0000 x2
Ag: 0.1225 0.3775 0.0000 x4
Au: 0.1731 0.6731 0.5000 x4


[6]
This record from Alexandria via LeMat-Bulk describes a relaxed structure of KCo2Tc. The functional is PBE-GGA.

Computed properties:
Crystal system: tetragonal
Excess energy over the best structure of this formula in the dataset (kJ per mole of atoms): 60.8
Formation energy from the elements (eV/f.u.): 5.3

a b c (Å): 7.1070 7.1070 6.5146
angles (deg): 90.00 90.00 90.00
Space group I-42d (No. 122)
Unique sites:
K: 0.0000 0.0000 0.0000 x4
Co: 0.1597 0.7500 0.6250 x8
Tc: 0.0000 0.0000 0.5000 x4


[7]
This record from Alexandria via LeMat-Bulk describes a relaxed structure of TeIr2Au. The functional is PBE-GGA.

Computed properties:
Crystal system: orthorhombic
Uncorrected formation energy (eV per atom): 0.55
Excess energy over the best structure of this formula in the dataset (kJ per mole of atoms): 25.3

a b c (Å): 5.9779 7.4359 3.1371
angles (deg): 90.00 90.00 90.00
Space group Cmmm (No. 65)
Unique sites:
Te: 0.0000 0.0000 0.0000 x2
Ir: 0.2500 0.2500 0.5000 x4
Au: 0.0000 0.5000 0.0000 x2


[8]
This record from Alexandria via LeMat-Bulk describes a relaxed structure of Hf3AsSe3. The functional is PBE-GGA.

Computed properties:
Crystal system: cubic
Uncorrected formation energy (eV per atom): -1.17

a b c (Å): 10.7389 10.7389 10.7389
angles (deg): 90.00 90.00 90.00
Space group I4_132 (No. 214)
Unique sites:
Hf: 0.1188 0.3688 0.1250 x24
As: 0.1250 0.1250 0.1250 x8
Se: 0.1205 0.1295 0.6250 x24


[9]
This record from Alexandria via LeMat-Bulk describes a relaxed structure of TbPr12In3. The functional is PBE-GGA.

Computed properties:
Crystal system: tetragonal
Formation energy from the elements (eV/f.u.): -3.2

a b c (Å): 5.0379 5.0379 20.5434
angles (deg): 90.00 90.00 90.00
Space group P4/mmm (No. 123)
Unique sites:
Tb: 0.0000 0.0000 0.0000 x1
Pr: 0.0000 0.5000 0.1311 x4
Pr: 0.0000 0.5000 0.3770 x4
Pr: 0.5000 0.5000 0.0000 x1
Pr: 0.5000 0.5000 0.2545 x2
Pr: 0.5000 0.5000 0.5000 x1
In: 0.0000 0.0000 0.2555 x2
In: 0.0000 0.0000 0.5000 x1


[10]
This record from Alexandria via LeMat-Bulk describes a relaxed structure of Ce2SmIn. The functional is PBE-GGA.

Computed properties:
Crystal system: monoclinic
Excess energy over the best structure of this formula in the dataset (kJ per mole of atoms): 0.9
Formation energy from the elements (eV/f.u.): -0.8

a b c (Å): 4.6261 4.3308 11.6296
angles (deg): 90.00 99.17 90.00
Space group P2_1/m (No. 11)
Unique sites:
Ce: 0.0001 0.2500 0.1104 x2
Ce: 0.3862 0.2500 0.8843 x2
Sm: 0.3001 0.7500 0.6061 x2
In: 0.1784 0.7500 0.3237 x2


[11]
This record from Alexandria via LeMat-Bulk describes a relaxed structure of PrSmPd. The functional is PBE-GGA.

Computed properties:
Crystal system: tetragonal
Excess energy over the best structure of this formula in the dataset (kJ per mole of atoms): 7.3
Formation energy from the elements (eV/f.u.): -1.4

a b c (Å): 3.6501 3.6501 12.6682
angles (deg): 90.00 90.00 90.00
Space group I4mm (No. 107)
Unique sites:
Pr: 0.0000 0.0000 0.0000 x2
Sm: 0.0000 0.0000 0.2740 x2
Pd: 0.0000 0.0000 0.6476 x2


[12]
This record from Alexandria via LeMat-Bulk describes a relaxed structure of NaPBr3. The functional is PBE-GGA.

Computed properties:
Crystal system: cubic
Uncorrected formation energy (eV per atom): -0.49
Excess energy over the best structure of this formula in the dataset (kJ per mole of atoms): 22.7

a b c (Å): 5.2512 5.2512 5.2512
angles (deg): 90.00 90.00 90.00
Space group Pm-3m (No. 221)
Unique sites:
Na: 0.0000 0.0000 0.0000 x1
P: 0.5000 0.5000 0.5000 x1
Br: 0.0000 0.5000 0.5000 x3